DFT (PBE) results for crystalline Tb4Sm3Tm8 at its relaxed geometry.

a = 9.2173 Å, b = 9.2173 Å, c = 6.6770 Å
α = 111.20°, β = 111.20°, γ = 87.92°
With the nearest neighbours (Å) after each atom.
Element x y z (fractional)
1 Tb 0.0000 0.0000 0.0000  2 Tb 3.34, 4 Tm 3.49-3.53
2 Tb 0.0000 0.0000 0.5000  6 Tm 3.24-3.45, 2 Tb 3.34
3 Tb 0.0000 0.5000 0.0000  4 Tm 3.20-3.32, 2 Sm 3.34
4 Tb 0.5000 0.0000 0.0000  4 Tm 3.20-3.32, 2 Sm 3.34
5 Sm 0.0000 0.5000 0.5000  4 Tm 3.21-3.32, 2 Tb 3.34
6 Sm 0.5000 0.0000 0.5000  4 Tm 3.21-3.32, 2 Tb 3.34
7 Sm 0.5000 0.5000 0.5000  6 Tm 3.16-3.20
8 Tm 0.2532 0.7468 0.5000  3 Sm 3.16-3.32, 3 Tb 3.24-3.32
9 Tm 0.2649 0.2649 0.0074  1 Sm 3.20, 2 Tm 3.20-3.47, 4 Tb 3.20-3.49
10 Tm 0.2664 0.2664 0.5294  3 Sm 3.20-3.21, 4 Tm 3.20-3.58, 2 Tb 3.44-3.53
11 Tm 0.3615 0.6385 0.0000  7 Tm 3.54-3.61, 2 Tb 3.61, 4 Sm 3.61-3.78
12 Tm 0.6385 0.3615 0.0000  7 Tm 3.54-3.61, 2 Tb 3.61, 4 Sm 3.61-3.78
13 Tm 0.7336 0.7336 0.4706  3 Sm 3.20-3.21, 4 Tm 3.20-3.58, 2 Tb 3.44-3.53
14 Tm 0.7351 0.7351 0.9926  1 Sm 3.20, 2 Tm 3.20-3.47, 4 Tb 3.20-3.49
15 Tm 0.7468 0.2532 0.5000  3 Sm 3.16-3.32, 3 Tb 3.24-3.32

Calculated values
M_tot: 0.00 μB per cell
ΔE_f: 396.1 meV/atom